VASP calculation (PBEsol) on an optimized crystal structure of PrH18Br3O18.

Output
D(E_F) (states/eV per atom): 0.00
Final energy (eV per atom): -5.019

a b c (Å): 11.7594 11.7594 6.5733
angles (deg): 90.00 90.00 120.00
Space group P6_3mc (No. 186)
Asymmetric unit:
1 Pr 0.3333 0.6667 0.0000 x2
2 H 0.1139 0.3664 0.9880 x12
3 H 0.1200 0.4918 0.3197 x12
4 H 0.1229 0.4939 0.6672 x12
5 Br 0.1296 0.2592 0.4809 x6
6 O 0.0658 0.3609 0.4915 x12
7 O 0.0919 0.1837 0.7031 x6
8 O 0.1511 0.5756 0.2447 x6
9 O 0.1531 0.5765 0.7451 x6
10 O 0.2089 0.4179 0.0197 x6

VASP calculation (PBEsol) on an optimized crystal structure of Rb2HBrO.

Output
D(E_F) (states/eV per atom): 0.00
Final energy (eV per atom): -3.968

a b c (Å): 6.8786 4.4037 8.8706
angles (deg): 90.00 108.29 90.00
Space group P2_1/m (No. 11)
Asymmetric unit:
1 Rb 0.2056 0.2500 0.3827 x2
2 Rb 0.2146 0.2500 0.9633 x2
3 H 0.3408 0.7500 0.2102 x2
4 Br 0.3261 0.7500 0.6988 x2
5 O 0.1909 0.7500 0.1708 x2

VASP calculation (PBEsol) on an optimized crystal structure of RbZnH2Se2BrO6.

Output
D(E_F) (states/eV per atom): 0.00
Final energy (eV per atom): -4.984

a b c (Å): 6.4566 6.1035 10.7511
angles (deg): 90.00 102.47 90.00
Space group P2/c (No. 13)
Asymmetric unit:
1 Rb 0.0000 0.1614 0.2500 x2
2 Zn 0.5000 0.4479 0.7500 x2
3 H 0.0703 0.3533 0.5915 x4
4 Se 0.2974 0.3193 0.9876 x4
5 Br 0.5000 0.0486 0.7500 x2
6 O 0.0375 0.2252 0.9212 x4
7 O 0.2399 0.4602 0.1162 x4
8 O 0.3233 0.4716 0.3861 x4

> Which value of D(E_F) does entry 3 give?

0.00 states/eV per atom

> What is the final energy in the third record?

-4.984 eV per atom

> Among the records above, which one has the highest final energy?

Rb2HBrO